Here is NiSb3Ir after structural relaxation from Alexandria. Energies are from GGA-PBE.

Summary:
As for the excess energy over the best structure of this formula in the dataset: 0.173 eV/atom. The calculation puts the magnetic moment at 0.00 μB/f.u. For the uncorrected formation energy, the calculation gives 0.88 eV/atom. As for the symmetry: Pm-3m.

a b c (Å): 5.1444 5.1444 5.1444
angles (deg): 90.00 90.00 90.00
Closest atoms and distances in Å follow each position.
Fractional positions:
Ni (0.0000, 0.0000, 0.0000)  12 Sb 3.64
Sb (0.0000, 0.5000, 0.5000)  2 Ir 2.57
Sb (0.5000, 0.0000, 0.5000)  2 Ir 2.57
Sb (0.5000, 0.5000, 0.0000)  2 Ir 2.57
Ir (0.5000, 0.5000, 0.5000)  6 Sb 2.57